Entry 1:
Computed, not measured: an optimized crystal structure of SrV2Pt at the PBE level of DFT.

Unit cell a=4.604 b=4.604 c=4.604 alpha=60.00 beta=60.00 gamma=60.00
Positions (direct):
1 Sr 0.000 0.000 0.000
2 Pt 0.500 0.500 0.500
3 V 0.250 0.250 0.250
4 V 0.750 0.750 0.750

Calculated values
Total moment ... 0.02 μB/f.u.
Formation enthalpy at 0 K ... 583 meV per atom
Density ... 9254 kg/m3
SG ... Fm-3m (225)

Entry 2:
Computed, not measured: an optimized crystal structure of SrVPt2 at the PBE level of DFT.

Unit cell a=4.816 b=4.816 c=4.816 alpha=60.00 beta=60.00 gamma=60.00
Positions (direct):
1 Sr 0.500 0.500 0.500
2 Pt 0.250 0.250 0.250
3 Pt 0.750 0.750 0.750
4 V 0.000 0.000 0.000

Calculated values
Total moment ... 2.62 μB/f.u.
Formation enthalpy at 0 K ... -119 meV per atom
Density ... 11116 kg/m3
SG ... Fm-3m (225)

Entry 3:
Computed, not measured: an optimized crystal structure of Sr2PtW at the PBE level of DFT.

Unit cell a=3.176 b=3.172 c=10.020 alpha=71.52 beta=90.00 gamma=90.00
Positions (direct):
1 Pt 0.500 0.750 0.750
2 Sr 0.000 0.022 0.978
3 Sr 0.000 0.478 0.522
4 W 0.500 0.250 0.250

Calculated values
Total moment ... 0.00 μB/f.u.
Formation enthalpy at 0 K ... 556 meV per atom
Density ... 9611 kg/m3
SG ... P4/mmm (123)

Entry 4:
Computed, not measured: an optimized crystal structure of SrPt2W at the PBE level of DFT.

Unit cell a=5.571 b=5.571 c=5.080 alpha=76.67 beta=76.67 gamma=29.54
Positions (direct):
1 Pt 0.993 0.993 0.941
2 Pt 0.271 0.271 0.294
3 Sr 0.514 0.514 0.439
4 W 0.722 0.722 0.826

Calculated values
Total moment ... 0.00 μB/f.u.
Formation enthalpy at 0 K ... 53 meV per atom
Density ... 14555 kg/m3
SG ... Cm (8)

Entry 5:
Computed, not measured: an optimized crystal structure of SrPt2W at the PBE level of DFT.

Unit cell a=6.175 b=6.175 c=6.175 alpha=153.11 beta=133.00 gamma=54.98
Positions (direct):
1 Pt 0.008 0.008 0.000
2 Pt 0.773 0.273 0.500
3 Sr 0.503 0.503 0.000
4 W 0.216 0.716 0.500

Calculated values
Total moment ... 0.00 μB/f.u.
Formation enthalpy at 0 K ... 94 meV per atom
Density ... 14184 kg/m3
SG ... Imm2 (44)

Entry 6:
Computed, not measured: an optimized crystal structure of Sr2PtW at the PBE level of DFT.

Unit cell a=3.395 b=3.395 c=9.616 alpha=90.00 beta=90.00 gamma=89.99
Positions (direct):
1 Pt 0.500 0.500 0.688
2 Sr 0.000 0.000 0.926
3 Sr 0.500 0.500 0.319
4 W 0.000 0.000 0.567

Calculated values
Total moment ... 0.00 μB/f.u.
Formation enthalpy at 0 K ... 301 meV per atom
Density ... 8305 kg/m3
SG ... P4mm (99)

Entry 7:
Computed, not measured: an optimized crystal structure of SrPt2W at the PBE level of DFT.

Unit cell a=3.003 b=3.003 c=8.384 alpha=90.00 beta=90.00 gamma=90.01
Positions (direct):
1 Pt 0.000 0.000 0.959
2 Pt 0.000 0.000 0.541
3 Sr 0.500 0.500 0.250
4 W 0.500 0.500 0.750

Calculated values
Total moment ... 0.00 μB/f.u.
Formation enthalpy at 0 K ... -155 meV per atom
Density ... 14535 kg/m3
SG ... P4/mmm (123)

Entry 8:
Computed, not measured: an optimized crystal structure of Sr2PtW at the PBE level of DFT.

Unit cell a=11.257 b=11.257 c=8.331 alpha=47.50 beta=47.50 gamma=90.00
Positions (direct):
1 Sr 0.791 0.125 0.250
2 Sr 0.959 0.625 0.250
3 Sr 0.375 0.209 0.750
4 Sr 0.875 0.041 0.750
5 W 0.500 0.500 0.000
6 W 0.250 0.750 0.500
7 Pt 0.000 0.000 0.000
8 Pt 0.750 0.250 0.500

Calculated values
Total moment ... 2.50 μB/f.u.
Formation enthalpy at 0 K ... 566 meV per atom
Density ... 5908 kg/m3
SG ... I-42d (122)